Computed, not measured: crystalline Cs2GeSb at its relaxed geometry at the PBE level of DFT.

The value obtained for the formation energy without anion corrections is -0.2652 eV per atom. As for the polymorph energy (0 for the lowest one): 35 meV per atom. As for the density: 4.26 g/cm³.

a = 4.306 Å, b = 7.052 Å, c = 7.054 Å
α = 105.05°, β = 107.63°, γ = 107.74°
Fractional positions:
Cs: 0.000 0.000 0.000
Cs: 0.002 0.375 0.626
Ge: 0.794 0.481 0.108
Sb: 0.517 0.706 0.331